(1)
DFT (PBE) results for a relaxed DyZnCdAu crystal.

Computed properties:
The formation energy is -0.50 eV per atom.

CIF file:
```
data_DyZnCdAu
_space_group_name_H-M_alt 'F -4 3 m'
_space_group_IT_number 216
_space_group_name_Hall 'F -4 2 3'
_cell_length_a 6.889
_cell_length_b 6.889
_cell_length_c 6.889
_cell_angle_alpha 90.00
_cell_angle_beta 90.00
_cell_angle_gamma 90.00
loop_
_atom_site_label
_atom_site_fract_x
_atom_site_fract_y
_atom_site_fract_z
Dy1 0.000 0.000 0.000
Zn1 0.250 0.250 0.750
Cd1 0.000 0.000 0.500
Au1 0.250 0.250 0.250
```

---

(2)
DFT (PBE) results for a relaxed PmSc2Al2 crystal.

Computed properties:
The formation energy is -0.12 eV per atom.

CIF file:
```
data_PmSc2Al2
_space_group_name_H-M_alt 'P -3 m 1'
_space_group_IT_number 164
_space_group_name_Hall '-P 3 2"'
_cell_length_a 4.9537
_cell_length_b 4.9537
_cell_length_c 5.8964
_cell_angle_alpha 90.00
_cell_angle_beta 90.00
_cell_angle_gamma 120.00
loop_
_atom_site_label
_atom_site_fract_x
_atom_site_fract_y
_atom_site_fract_z
Pm1 0.0000 0.0000 0.0000
Sc1 0.3333 0.6667 0.6484
Al1 0.3333 0.6667 0.1704
```

---

(3)
DFT (PBE) results for a relaxed Zr2CrAg crystal.

Computed properties:
Its energy above the lowest structure with this stoichiometry is 135 meV/atom. The formation energy is 0.17 eV per atom.

CIF file:
```
data_Zr2CrAg
_space_group_name_H-M_alt 'F m -3 m'
_space_group_IT_number 225
_space_group_name_Hall '-F 4 2 3'
_cell_length_a 6.721
_cell_length_b 6.721
_cell_length_c 6.721
_cell_angle_alpha 90.00
_cell_angle_beta 90.00
_cell_angle_gamma 90.00
loop_
_atom_site_label
_atom_site_fract_x
_atom_site_fract_y
_atom_site_fract_z
Zr1 0.250 0.250 0.250
Cr1 0.000 0.000 0.000
Ag1 0.000 0.000 0.500
```

---

(4)
DFT (PBE) results for a relaxed La2PmDyHo crystal.

Computed properties:
The formation energy is 0.23 eV per atom.

CIF file:
```
data_La2PmDyHo
_space_group_name_H-M_alt 'P m m a'
_space_group_IT_number 51
_space_group_name_Hall '-P 2a 2a'
_cell_length_a 6.488
_cell_length_b 7.901
_cell_length_c 6.774
_cell_angle_alpha 90.00
_cell_angle_beta 90.00
_cell_angle_gamma 90.00
loop_
_atom_site_label
_atom_site_fract_x
_atom_site_fract_y
_atom_site_fract_z
La1 0.250 0.202 0.209
Pm1 0.250 0.500 0.911
Dy1 0.250 0.000 0.681
Ho1 0.000 0.500 0.500
```

---

(5)
DFT (PBE) results for a relaxed Ho2Er3ThSe6 crystal.

Computed properties:
The uncorrected formation energy comes out at -1668 meV/atom.

CIF file:
```
data_Ho2Er3ThSe6
_space_group_name_H-M_alt 'C 1 2/m 1'
_space_group_IT_number 12
_space_group_name_Hall '-C 2y'
_cell_length_a 17.740
_cell_length_b 4.047
_cell_length_c 8.207
_cell_angle_alpha 90.00
_cell_angle_beta 102.72
_cell_angle_gamma 90.00
loop_
_atom_site_label
_atom_site_fract_x
_atom_site_fract_y
_atom_site_fract_z
Ho1 0.163 0.000 0.328
Er1 0.000 0.500 0.500
Er2 0.160 0.000 0.835
Th1 0.000 0.500 0.000
Se1 0.001 0.000 0.264
Se2 0.168 0.500 0.585
Se3 0.174 0.500 0.087
```

---

(6)
DFT (PBE) results for a relaxed CuRh3W crystal.

Computed properties:
Its energy above the lowest structure with this stoichiometry is 953 meV/atom. The formation energy is 1.24 eV per atom.

CIF file:
```
data_CuRh3W
_space_group_name_H-M_alt 'P m -3 m'
_space_group_IT_number 221
_space_group_name_Hall '-P 4 2 3'
_cell_length_a 4.685
_cell_length_b 4.685
_cell_length_c 4.685
_cell_angle_alpha 90.00
_cell_angle_beta 90.00
_cell_angle_gamma 90.00
loop_
_atom_site_label
_atom_site_fract_x
_atom_site_fract_y
_atom_site_fract_z
Cu1 0.000 0.000 0.000
Rh1 0.000 0.500 0.500
W1 0.500 0.500 0.500
```